First-principles (GGA-PBE) data for a relaxed structure of Zr2ZnCl, as listed in Alexandria via LeMat-Bulk.

The total energy comes out at -5.1889 eV/atom. The energy above the most stable polymorph in this dataset comes out at 345 meV per atom.

The space group is Pmmm (No. 47) and the conventional cell measures 3.2234, 4.6220 and 5.5153 Å, with angles of 90.00, 90.00 and 90.00 degrees. The asymmetric unit holds Zr at (0.0000, 0.0000, 0.0000), Zr at (0.5000, 0.0000, 0.5000), Zn at (0.0000, 0.5000, 0.5000) and Cl at (0.5000, 0.5000, 0.0000).